# 1
{"formula": "Sn3AsAu2", "functional": "PBE-GGA", "state": "optimized geometry", "lattice_angstrom": [[11.7477, 0.0000, 0.0000], [0.0000, 3.9914, 0.0000], [0.0000, 0.0000, 12.3896]], "species": ["Sn", "Sn", "Sn", "Sn", "Sn", "Sn", "Sn", "Sn", "Sn", "Sn", "Sn", "Sn", "As", "As", "As", "As", "Au", "Au", "Au", "Au", "Au", "Au", "Au", "Au"], "fractional_positions": [[0.0894, 0.2500, 0.0944], [0.1156, 0.7500, 0.5675], [0.1439, 0.2500, 0.7666], [0.3561, 0.7500, 0.2666], [0.3844, 0.2500, 0.0675], [0.4106, 0.7500, 0.5944], [0.5894, 0.2500, 0.4056], [0.6156, 0.7500, 0.9325], [0.6439, 0.2500, 0.7334], [0.8561, 0.7500, 0.2334], [0.8844, 0.2500, 0.4325], [0.9106, 0.7500, 0.9056], [0.1280, 0.2500, 0.4065], [0.3720, 0.7500, 0.9065], [0.6280, 0.2500, 0.0935], [0.8720, 0.7500, 0.5935], [0.1050, 0.7500, 0.2549], [0.1462, 0.7500, 0.9328], [0.3538, 0.2500, 0.4328], [0.3950, 0.2500, 0.7549], [0.6050, 0.7500, 0.2451], [0.6462, 0.7500, 0.5672], [0.8538, 0.2500, 0.0672], [0.8950, 0.2500, 0.7451]], "delta_e_f_mev_per_atom": -76.5, "magnetic_moment_mub_per_cell": 0.000, "sg": "Pnma, No. 62"}

---

# 2
{"formula": "Li2MgUO4", "functional": "PBE-GGA", "state": "optimized geometry", "lattice_angstrom": [[-2.2434, 2.2434, 4.5397], [2.2434, -2.2434, 4.5397], [2.2434, 2.2434, -4.5397]], "species": ["Li", "Li", "Mg", "U", "O", "O", "O", "O"], "fractional_positions": [[0.0000, 0.0000, 0.0000], [0.7500, 0.2500, 0.5000], [0.5000, 0.5000, 0.0000], [0.2500, 0.7500, 0.5000], [0.0082, 0.5082, 0.5000], [0.2678, 0.2678, 0.0000], [0.4918, 0.9918, 0.5000], [0.7322, 0.7322, 0.0000]], "magnetic_moment_mub_per_cell": 2.000, "sg": "I-4m2, No. 119", "e_form_raw_ev_per_atom": -2.518}